RhAuCl | PBE | relaxed

Cell lengths 3.0249, 3.0249, 12.3737 Å; angles 90.00, 90.00, 90.00 degrees
Positions (direct):
Rh  0.0000  0.0000  0.0000
Rh  0.5000  0.5000  0.5000
Au  0.0000  0.0000  0.3505
Au  0.5000  0.5000  0.8505
Cl  0.0000  0.0000  0.6238
Cl  0.5000  0.5000  0.1238

Computed properties:
magnetization = 3.603 Bohr magnetons per cell
energy above the lowest structure with this stoichiometry = 344 meV per atom
SG = No. 107
uncorrected formation energy = 365 meV/atom
electronic total energy = -22.758 eV for the cell shown



RhAu2Cl | PBE | relaxed

Cell lengths 2.9797, 4.5873, 12.3095 Å; angles 90.00, 90.00, 90.00 degrees
Positions (direct):
Rh  0.0000  0.0000  0.0000
Rh  0.5000  0.5000  0.5000
Au  0.0000  0.0000  0.5586
Au  0.0000  0.5000  0.6892
Au  0.5000  0.0000  0.1892
Au  0.5000  0.5000  0.0586
Cl  0.0000  0.5000  0.3548
Cl  0.5000  0.0000  0.8548

Computed properties:
magnetization = 0.000 Bohr magnetons per cell
energy above the lowest structure with this stoichiometry = 52 meV per atom
SG = No. 44
uncorrected formation energy = 209 meV/atom
electronic total energy = -29.837 eV for the cell shown



RhAuCl | PBE | relaxed

Cell lengths 9.0443, 3.3368, 8.9539 Å; angles 90.00, 93.65, 90.00 degrees
Positions (direct):
Rh  0.0863  0.0000  0.1794
Rh  0.4137  0.5000  0.8206
Rh  0.5863  0.5000  0.1794
Rh  0.9137  0.0000  0.8206
Au  0.1385  0.5000  0.9338
Au  0.3615  0.0000  0.0662
Au  0.6385  0.0000  0.9338
Au  0.8615  0.5000  0.0662
Cl  0.1372  0.5000  0.3498
Cl  0.3628  0.0000  0.6502
Cl  0.6372  0.0000  0.3498
Cl  0.8628  0.5000  0.6502

Computed properties:
magnetization = 0.000 Bohr magnetons per cell
energy above the lowest structure with this stoichiometry = 1 meV per atom
SG = No. 12
uncorrected formation energy = 22 meV/atom
electronic total energy = -49.641 eV for the cell shown



RhAuCl | PBE | relaxed

Cell lengths 9.6566, 5.3223, 6.0309 Å; angles 90.00, 105.05, 90.00 degrees
Positions (direct):
Rh  0.2500  0.2500  0.0000
Rh  0.2500  0.7500  0.0000
Rh  0.7500  0.2500  0.0000
Rh  0.7500  0.7500  0.0000
Au  0.0000  0.0000  0.0000
Au  0.0000  0.5000  0.0000
Au  0.5000  0.0000  0.0000
Au  0.5000  0.5000  0.0000
Cl  0.1958  0.0000  0.6653
Cl  0.3042  0.5000  0.3347
Cl  0.6958  0.5000  0.6653
Cl  0.8042  0.0000  0.3347

Computed properties:
magnetization = 0.872 Bohr magnetons per cell
energy above the lowest structure with this stoichiometry = 61 meV per atom
SG = No. 12
uncorrected formation energy = 82 meV/atom
electronic total energy = -48.913 eV for the cell shown



RhAuCl2 | PBE | relaxed

Cell lengths 3.1679, 3.1679, 8.1271 Å; angles 90.00, 90.00, 90.00 degrees
Positions (direct):
Rh  0.0000  0.0000  0.0000
Au  0.5000  0.5000  0.2147
Cl  0.0000  0.0000  0.4213
Cl  0.5000  0.5000  0.8207

Computed properties:
magnetization = 2.184 Bohr magnetons per cell
energy above the lowest structure with this stoichiometry = 325 meV per atom
SG = No. 99
uncorrected formation energy = 228 meV/atom
electronic total energy = -13.410 eV for the cell shown



RhAuCl2 | PBE | relaxed

Cell lengths 3.5729, 4.7788, 10.0081 Å; angles 90.00, 90.00, 90.00 degrees
Positions (direct):
Rh  0.0000  0.0000  0.0000
Rh  0.0000  0.5000  0.5000
Au  0.5000  0.0000  0.1946
Au  0.5000  0.5000  0.6946
Cl  0.0000  0.0000  0.4630
Cl  0.0000  0.5000  0.9630
Cl  0.5000  0.0000  0.8467
Cl  0.5000  0.5000  0.3467

Computed properties:
magnetization = 0.000 Bohr magnetons per cell
energy above the lowest structure with this stoichiometry = 118 meV per atom
SG = No. 38
uncorrected formation energy = 21 meV/atom
electronic total energy = -28.476 eV for the cell shown



RhAu2Cl | PBE | relaxed

Cell lengths 2.9096, 3.2781, 8.1040 Å; angles 90.00, 90.66, 90.00 degrees
Positions (direct):
Rh  0.0000  0.0000  0.0000
Au  0.0146  0.0000  0.4520
Au  0.5075  0.5000  0.2226
Cl  0.9938  0.5000  0.8026

Computed properties:
magnetization = 0.000 Bohr magnetons per cell
energy above the lowest structure with this stoichiometry = 10 meV per atom
SG = No. 6
uncorrected formation energy = 166 meV/atom
electronic total energy = -15.089 eV for the cell shown



RhAuCl3 | PBE | relaxed

Cell lengths 4.7833, 4.7833, 4.7833 Å; angles 90.00, 90.00, 90.00 degrees
Positions (direct):
Rh  0.0000  0.0000  0.0000
Au  0.5000  0.5000  0.5000
Cl  0.0000  0.0000  0.5000
Cl  0.0000  0.5000  0.0000
Cl  0.5000  0.0000  0.0000

Computed properties:
magnetization = 0.000 Bohr magnetons per cell
energy above the lowest structure with this stoichiometry = 0 meV per atom
SG = No. 221
uncorrected formation energy = 118 meV/atom
electronic total energy = -15.578 eV for the cell shown